Entry 1:
Here is a relaxed structure of K2GePbSe4 from Alexandria. Energies are from PBE.

Computed properties:
Formation energy without anion corrections = -0.73 eV per atom
Total moment = 0.000 μB/atom
Calculated total energy = -3.785 eV/atom

Cell and atoms, written as extended XYZ:
```
16
Lattice="9.971 0.000 0.000 0.000 8.920 0.000 0.000 0.000 6.665" Properties=species:S:1:pos:R:3 pbc="T T T"
K 2.408 1.494 0.000
K 2.578 7.426 3.333
K 7.393 7.426 3.333
K 7.563 1.494 0.000
Ge 0.000 5.889 0.446
Ge 4.985 3.031 3.779
Pb 0.000 3.004 3.488
Pb 4.985 5.916 0.156
Se 0.000 3.616 6.293
Se 0.000 5.669 2.849
Se 2.008 7.079 6.598
Se 2.977 1.841 3.265
Se 4.985 3.251 6.181
Se 4.985 5.305 2.960
Se 6.993 1.841 3.265
Se 7.962 7.079 6.598
```

Entry 2:
Here is a relaxed structure of Mg3Hg3Pb from Alexandria. Energies are from PBE.

Computed properties:
Total moment = 0.000 μB/atom
Calculated total energy = -1.104 eV/atom
Energy of formation from the pure elements = 239 meV per atom

Cell and atoms, written as extended XYZ:
```
14
Lattice="7.635 0.000 0.000 0.000 7.635 0.000 0.000 0.000 7.635" Properties=species:S:1:pos:R:3 pbc="T T T"
Mg 0.000 1.909 3.818
Mg 0.000 5.726 3.818
Mg 1.909 3.818 0.000
Mg 3.818 0.000 1.909
Mg 3.818 0.000 5.726
Mg 5.726 3.818 0.000
Hg 0.000 3.818 1.909
Hg 0.000 3.818 5.726
Hg 1.909 0.000 3.818
Hg 3.818 1.909 0.000
Hg 3.818 5.726 0.000
Hg 5.726 0.000 3.818
Pb 0.000 0.000 0.000
Pb 3.818 3.818 3.818
```

Entry 3:
Here is a relaxed structure of Mo2Rh2Pb from Alexandria. Energies are from PBE.

Computed properties:
Offset from the most stable computed form = 7 meV per atom
Total moment = 0.000 μB/atom
Calculated total energy = -7.765 eV/atom
Energy of formation from the pure elements = 250 meV per atom

Cell and atoms, written as extended XYZ:
```
10
Lattice="7.797 0.000 0.000 0.000 7.797 0.000 0.000 0.000 2.843" Properties=species:S:1:pos:R:3 pbc="T T T"
Mo 1.286 2.612 0.000
Mo 2.612 6.511 0.000
Mo 5.185 1.286 0.000
Mo 6.511 5.185 0.000
Rh 0.973 4.871 1.422
Rh 2.926 0.973 1.422
Rh 4.871 6.824 1.422
Rh 6.824 2.926 1.422
Pb 0.000 0.000 1.422
Pb 3.898 3.898 1.422
```

Entry 4:
Here is a relaxed structure of Ta2PtAu from Alexandria. Energies are from PBE.

Computed properties:
Total moment = 0.000 μB/atom
Calculated total energy = -8.568 eV/atom
Energy of formation from the pure elements = -313 meV per atom

Cell and atoms, written as extended XYZ:
```
4
Lattice="2.845 -4.184 0.000 2.845 4.184 0.000 0.000 0.000 2.858" Properties=species:S:1:pos:R:3 pbc="T T T"
Ta 1.423 2.092 0.000
Ta 1.423 -2.092 0.000
Pt 0.000 0.000 1.429
Au 2.845 0.000 1.429
```

Entry 5:
Here is a relaxed structure of NbAsCl2 from Alexandria. Energies are from PBE.

Computed properties:
Offset from the most stable computed form = 123 meV per atom
Formation energy without anion corrections = -0.32 eV per atom
Total moment = 0.000 μB/atom
Calculated total energy = -4.922 eV/atom

Cell and atoms, written as extended XYZ:
```
8
Lattice="-4.566 4.566 2.493 4.566 -4.566 2.493 4.566 4.566 -2.493" Properties=species:S:1:pos:R:3 pbc="T T T"
Nb 0.000 0.000 0.000
Nb 0.000 4.566 1.246
As 4.566 0.000 1.246
As 0.000 0.000 2.493
Cl 0.912 2.283 0.623
Cl -2.283 3.654 1.870
Cl -0.912 6.849 0.623
Cl 2.283 5.478 1.870
```

Entry 6:
Here is a relaxed structure of Pu2P3Pd6 from Alexandria. Energies are from PBE.

Computed properties:
Total moment = 0.983 μB/atom
Calculated total energy = -7.618 eV/atom
Energy of formation from the pure elements = -704 meV per atom

Cell and atoms, written as extended XYZ:
```
11
Lattice="7.355 0.000 0.000 -3.678 6.370 0.000 0.000 0.000 4.120" Properties=species:S:1:pos:R:3 pbc="T T T"
Pu 0.000 4.247 0.000
Pu 3.678 2.123 0.000
P -1.365 2.364 2.060
P 2.730 0.000 2.060
P 2.313 4.006 2.060
Pd -0.782 1.355 0.000
Pd -2.546 4.410 2.060
Pd 1.564 0.000 0.000
Pd 1.131 1.960 2.060
Pd 5.093 0.000 2.060
Pd 2.896 5.015 0.000
```

Entry 7:
Here is a relaxed structure of VGaAsBr2 from Alexandria. Energies are from PBE.

Computed properties:
Offset from the most stable computed form = 641 meV per atom
Formation energy without anion corrections = 0.52 eV per atom
Total moment = 0.503 μB/atom
Calculated total energy = -3.505 eV/atom

Cell and atoms, written as extended XYZ:
```
5
Lattice="5.147 0.000 0.000 0.000 5.147 0.000 0.000 0.000 5.034" Properties=species:S:1:pos:R:3 pbc="T T T"
V 0.000 0.000 0.000
Ga 2.574 2.574 2.517
As 2.574 2.574 0.000
Br 0.000 2.574 2.517
Br 2.574 0.000 2.517
```

Entry 8:
Here is a relaxed structure of TiBrN2O from Alexandria. Energies are from PBE.

Computed properties:
Formation energy without anion corrections = 1.40 eV per atom
Total moment = 0.187 μB/atom
Calculated total energy = -4.839 eV/atom

Cell and atoms, written as extended XYZ:
```
5
Lattice="3.921 0.000 0.000 0.000 3.921 0.000 0.000 0.000 3.839" Properties=species:S:1:pos:R:3 pbc="T T T"
Ti 0.000 0.000 0.000
Br 1.961 1.961 1.919
N 0.000 1.961 1.919
N 1.961 0.000 1.919
O 1.961 1.961 0.000
```

Entry 9:
Here is a relaxed structure of Li2Ti2N3 from Alexandria. Energies are from PBE.

Computed properties:
Formation energy without anion corrections = -1.17 eV per atom
Total moment = 0.000 μB/atom
Calculated total energy = -7.537 eV/atom

Cell and atoms, written as extended XYZ:
```
7
Lattice="2.972 0.000 0.000 0.009 5.273 0.000 1.485 1.144 4.951" Properties=species:S:1:pos:R:3 pbc="T T T"
Li 0.746 2.168 0.908
Li 3.720 4.249 4.043
Ti 2.227 1.304 3.743
Ti 2.239 5.114 1.208
N 0.743 0.572 2.476
N 0.750 4.088 0.158
N 3.716 2.330 4.793
```

Entry 10:
Here is a relaxed structure of Ba2LiCl from Alexandria. Energies are from PBE.

Computed properties:
Offset from the most stable computed form = 104 meV per atom
Formation energy without anion corrections = -0.74 eV per atom
Total moment = 0.119 μB/atom
Calculated total energy = -2.637 eV/atom

Cell and atoms, written as extended XYZ:
```
4
Lattice="-2.078 2.252 8.788 2.078 -2.252 8.788 2.078 2.252 -8.788" Properties=species:S:1:pos:R:3 pbc="T T T"
Ba 0.000 0.000 0.000
Ba 0.000 2.252 3.984
Li 2.078 0.000 5.897
Cl 0.000 0.000 9.903
```

Entry 11:
Here is a relaxed structure of CeTiSi2Ni2 from Alexandria. Energies are from PBE.

Computed properties:
Formation energy without anion corrections = -0.79 eV per atom
Total moment = 0.124 μB/atom
Calculated total energy = -6.825 eV/atom

Cell and atoms, written as extended XYZ:
```
6
Lattice="4.043 0.000 0.000 -2.021 3.501 0.000 0.000 0.000 6.815" Properties=species:S:1:pos:R:3 pbc="T T T"
Ce 0.000 0.000 0.000
Ti 0.000 0.000 3.408
Si 0.000 2.334 4.847
Si 2.021 1.167 1.968
Ni 0.000 2.334 2.279
Ni 2.021 1.167 4.537
```

Entry 12:
Here is a relaxed structure of BaCa2Ti from Alexandria. Energies are from PBE.

Computed properties:
Offset from the most stable computed form = 151 meV per atom
Total moment = 0.635 μB/atom
Calculated total energy = -2.732 eV/atom
Energy of formation from the pure elements = 723 meV per atom

Cell and atoms, written as extended XYZ:
```
8
Lattice="-2.491 2.491 12.644 2.491 -2.491 12.644 2.491 2.491 -12.644" Properties=species:S:1:pos:R:3 pbc="T T T"
Ba 0.000 0.000 0.000
Ba 0.000 2.491 6.322
Ca 1.246 -1.142 9.483
Ca 1.349 1.246 3.161
Ca 1.246 3.634 -3.161
Ca 1.142 1.246 15.805
Ti 2.491 0.000 6.322
Ti 0.000 0.000 12.644
```

Entry 13:
Here is a relaxed structure of Hf5H12Rh2 from Alexandria. Energies are from PBE.

Computed properties:
Total moment = 0.000 μB/atom
Calculated total energy = -5.817 eV/atom

Cell and atoms, written as extended XYZ:
```
19
Lattice="4.926 -2.765 0.000 4.926 2.765 0.000 -1.291 0.000 6.308" Properties=species:S:1:pos:R:3 pbc="T T T"
Hf 0.000 0.000 0.000
Hf 1.795 0.000 4.091
Hf 3.075 0.000 0.823
Hf 5.486 0.000 5.484
Hf 6.765 0.000 2.217
H 0.123 0.000 2.250
H 2.136 1.406 5.675
H 2.511 0.969 2.479
H 6.425 1.406 0.633
H 3.822 0.000 4.252
H 2.511 -0.969 2.479
H 6.050 0.969 3.828
H 4.739 0.000 2.056
H 2.136 -1.406 5.675
H 6.050 -0.969 3.828
H 6.425 -1.406 0.633
H 8.437 0.000 4.058
Rh 4.280 1.429 3.154
Rh 4.280 -1.429 3.154
```

Entry 14:
Here is a relaxed structure of Ac2Nd7Er from Alexandria. Energies are from PBE.

Computed properties:
Offset from the most stable computed form = 281 meV per atom
Total moment = 0.000 μB/atom
Calculated total energy = -4.184 eV/atom
Energy of formation from the pure elements = 432 meV per atom

Cell and atoms, written as extended XYZ:
```
10
Lattice="6.184 -8.746 0.000 6.184 8.746 0.000 0.000 0.000 3.636" Properties=species:S:1:pos:R:3 pbc="T T T"
Ac 6.184 5.702 0.000
Ac 6.184 -5.702 0.000
Nd 3.196 2.030 0.000
Nd 6.184 2.858 1.818
Nd 3.196 -2.030 0.000
Nd 6.184 0.000 0.000
Nd 9.172 2.030 0.000
Nd 6.184 -2.858 1.818
Nd 9.172 -2.030 0.000
Er 0.000 0.000 1.818
```

Entry 15:
Here is a relaxed structure of BeP2Os from Alexandria. Energies are from PBE.

Computed properties:
Total moment = 0.000 μB/atom
Calculated total energy = -6.412 eV/atom
Energy of formation from the pure elements = 32 meV per atom

Cell and atoms, written as extended XYZ:
```
8
Lattice="-2.538 2.538 5.290 2.538 -2.538 5.290 2.538 2.538 -5.290" Properties=species:S:1:pos:R:3 pbc="T T T"
Be 0.000 0.000 0.000
Be 0.000 2.538 2.645
P 3.807 1.204 -1.322
P 1.204 1.269 1.322
P -1.269 1.335 3.967
P 1.335 1.269 6.612
Os 2.538 0.000 2.645
Os 0.000 0.000 5.290
```

Entry 16:
Here is a relaxed structure of Cd3Ni from Alexandria. Energies are from PBE.

Computed properties:
Total moment = 0.000 μB/atom
Calculated total energy = -2.024 eV/atom
Energy of formation from the pure elements = 108 meV per atom

Cell and atoms, written as extended XYZ:
```
4
Lattice="3.062 0.000 0.000 0.000 4.648 0.000 0.000 0.000 5.206" Properties=species:S:1:pos:R:3 pbc="T T T"
Cd 0.000 0.000 0.000
Cd 0.000 2.324 1.780
Cd 1.531 0.000 2.770
Ni 1.531 2.324 4.420
```